# 1
# CuIrSCl2

A crystal of CuIrSCl2 relaxed with PBEsol (meta-GGA SCAN, the Alexandria database).

Structure (extended XYZ):
```
5
Lattice="4.364 0.000 0.000 0.000 4.364 0.000 0.000 0.000 4.724" Properties=species:S:1:pos:R:3 pbc="T T T"
Cu 0.000 0.000 0.000
Cl 0.000 2.182 0.000
S 0.000 0.000 2.362
Cl 2.182 0.000 0.000
Ir 2.182 2.182 2.362
```

Values from the calculation:
- raw formation energy (eV/atom) = 0.92
- raw total energy (eV for the cell shown) = -107.27
- total moment (μB/atom) = 0.546

***

# 2
# K3CuCl

A crystal of K3CuCl relaxed with PBEsol (meta-GGA SCAN, the Alexandria database).

Structure (extended XYZ):
```
5
Lattice="5.891 0.000 0.000 0.000 5.891 0.000 0.000 0.000 5.891" Properties=species:S:1:pos:R:3 pbc="T T T"
K 2.946 0.000 0.000
K 0.000 0.000 2.946
Cl 0.000 0.000 0.000
Cu 2.946 2.946 2.946
K 0.000 2.946 0.000
```

Values from the calculation:
- raw formation energy (eV/atom) = -0.49
- raw total energy (eV for the cell shown) = -50.61
- total moment (μB/atom) = 0.000

***

# 3
# K2LuCuCl6

A crystal of K2LuCuCl6 relaxed with PBEsol (meta-GGA SCAN, the Alexandria database).

Structure (extended XYZ):
```
10
Lattice="-1.950 6.800 0.037 -2.001 3.073 6.049 4.150 4.853 3.044" Properties=species:S:1:pos:R:3 pbc="T T T"
Lu 0.000 0.000 0.000
Cl 2.095 6.127 3.816
Cl 1.134 9.476 3.834
K 0.149 11.045 6.847
Cu 0.100 7.363 4.565
K 0.050 3.682 2.282
Cl 1.109 7.641 6.795
Cl -0.910 7.086 2.334
Cl -1.896 8.599 5.314
Cl -0.935 5.250 5.296
```

Values from the calculation:
- raw formation energy (eV/atom) = -1.97
- raw total energy (eV for the cell shown) = -154.76
- total moment (μB/atom) = 0.007

***

# 4
# K2CuSbCl6

A crystal of K2CuSbCl6 relaxed with PBEsol (meta-GGA SCAN, the Alexandria database).

Structure (extended XYZ):
```
10
Lattice="-2.741 -1.906 6.340 4.314 -0.862 5.655 -0.174 4.716 5.391" Properties=species:S:1:pos:R:3 pbc="T T T"
Cl -1.034 1.855 10.149
Cl 2.349 2.355 9.821
Cl 1.119 -0.820 10.276
Cl 2.433 0.094 7.236
Cl 0.281 2.768 7.110
K 1.049 1.461 13.039
Sb 0.000 0.000 0.000
K 0.350 0.487 4.346
Cu 0.700 0.974 8.693
Cl -0.950 -0.407 7.564
```

Values from the calculation:
- raw formation energy (eV/atom) = -1.33
- raw total energy (eV for the cell shown) = -130.25
- total moment (μB/atom) = 0.000

***

# 5
# K2ScCuCl6

A crystal of K2ScCuCl6 relaxed with PBEsol (meta-GGA SCAN, the Alexandria database).

Structure (extended XYZ):
```
10
Lattice="-3.109 6.054 -1.466 -2.624 1.117 -6.351 -6.896 0.237 -0.925" Properties=species:S:1:pos:R:3 pbc="T T T"
Cl -6.025 5.434 -6.090
Cl -7.913 2.532 -5.820
Sc 0.000 0.000 0.000
Cl -6.605 1.975 -2.652
Cl -4.474 2.414 -5.359
Cl -4.716 4.876 -2.922
Cl -8.156 4.994 -3.384
K -9.472 5.556 -6.557
K -3.157 1.852 -2.186
Cu -6.315 3.704 -4.371
```

Values from the calculation:
- raw formation energy (eV/atom) = -1.92
- raw total energy (eV for the cell shown) = -113.16
- total moment (μB/atom) = 0.007

***

# 6
# K2TbCuCl6

A crystal of K2TbCuCl6 relaxed with PBEsol (meta-GGA SCAN, the Alexandria database).

Structure (extended XYZ):
```
10
Lattice="-0.705 7.085 -0.788 -6.480 3.024 0.427 -1.683 4.081 5.642" Properties=species:S:1:pos:R:3 pbc="T T T"
Tb 0.000 0.000 0.000
Cu -4.434 7.095 2.641
K -6.651 10.642 3.961
K -2.217 3.547 1.320
Cl -5.771 8.559 1.183
Cl -3.098 5.631 4.099
Cl -2.623 7.090 0.975
Cl -6.246 7.100 4.306
Cl -3.440 9.073 3.716
Cl -5.428 5.117 1.565
```

Values from the calculation:
- raw formation energy (eV/atom) = -1.96
- raw total energy (eV for the cell shown) = -146.06
- total moment (μB/atom) = 0.007

***

# 7
# K2TlCuCl6

A crystal of K2TlCuCl6 relaxed with PBEsol (meta-GGA SCAN, the Alexandria database).

Structure (extended XYZ):
```
10
Lattice="-3.018 6.422 -0.773 -5.297 0.912 -4.696 -6.662 1.113 2.307" Properties=species:S:1:pos:R:3 pbc="T T T"
Cl -5.372 5.264 -1.198
Cl -7.097 2.750 0.260
Cl -7.880 5.696 -3.422
K -11.233 6.335 -2.371
Tl 0.000 0.000 0.000
Cl -8.526 5.791 -0.106
Cl -9.606 3.182 -1.963
K -3.744 2.112 -0.790
Cu -7.489 4.223 -1.581
Cl -6.451 2.655 -3.056
```

Values from the calculation:
- raw formation energy (eV/atom) = -1.31
- raw total energy (eV for the cell shown) = -165.20
- total moment (μB/atom) = 0.021

***

# 8
# K2YCuCl6

A crystal of K2YCuCl6 relaxed with PBEsol (meta-GGA SCAN, the Alexandria database).

Structure (extended XYZ):
```
10
Lattice="-0.839 -6.942 -1.477 0.946 -4.884 5.130 -5.614 -3.559 2.625" Properties=species:S:1:pos:R:3 pbc="T T T"
Cu -2.753 -7.692 3.139
Cl -3.685 -8.058 5.386
K -1.377 -3.846 1.570
Cl -1.360 -9.705 3.389
Cl -1.821 -7.327 0.892
Cl -4.146 -5.680 2.889
Cl -0.952 -6.325 4.108
K -4.130 -11.539 4.709
Y 0.000 0.000 0.000
Cl -4.554 -9.060 2.170
```

Values from the calculation:
- raw formation energy (eV/atom) = -1.97
- raw total energy (eV for the cell shown) = -127.30
- total moment (μB/atom) = 0.008

***

# 9
# LaCuCl

A crystal of LaCuCl relaxed with PBEsol (meta-GGA SCAN, the Alexandria database).

Structure (extended XYZ):
```
3
Lattice="3.838 0.000 0.000 -1.919 3.324 0.000 0.000 0.000 6.215" Properties=species:S:1:pos:R:3 pbc="T T T"
La 1.919 1.108 2.078
Cu 0.000 2.216 3.973
Cl 0.000 0.000 0.164
```

Values from the calculation:
- raw formation energy (eV/atom) = -0.72
- raw total energy (eV for the cell shown) = -68.45
- total moment (μB/atom) = 0.295

***

# 10
# La2CuCl

A crystal of La2CuCl relaxed with PBEsol (meta-GGA SCAN, the Alexandria database).

Structure (extended XYZ):
```
4
Lattice="3.343 0.000 0.000 0.000 4.937 0.000 0.000 0.000 5.554" Properties=species:S:1:pos:R:3 pbc="T T T"
La 0.000 0.000 0.000
La 0.000 2.468 2.777
Cu 1.672 0.000 2.777
Cl 1.672 2.468 0.000
```

Values from the calculation:
- energy above the most stable polymorph in this dataset (eV per atom) = 0.235
- raw formation energy (eV/atom) = -0.79
- raw total energy (eV for the cell shown) = -112.55
- total moment (μB/atom) = 0.000